Density functional theory data (PBE) for Na2HBr after structural relaxation.

Results
**Excess energy over the best structure of this formula in the dataset**: 42 meV per atom
**Total magnetic moment**: 0.0 Bohr magnetons per cell
**N(E_F)**: 0.00 states/eV per cell

Cell: 3.9126 3.9126 19.1747 Å, 90.00 90.00 120.00°
Space group R-3m (No. 166, hexagonal axes)
Unique sites:
Na  0.0000  0.0000  0.2370
H  0.0000  0.0000  0.5000
Br  0.0000  0.0000  0.0000

=====

Density functional theory data (PBE) for Na2HBr after structural relaxation.

Results
**Excess energy over the best structure of this formula in the dataset**: 217 meV per atom
**Total magnetic moment**: 0.0 Bohr magnetons per cell
**N(E_F)**: 0.00 states/eV per cell

Cell: 3.488 3.488 6.838 Å, 90.00 90.00 90.00°
Space group P4/mmm (No. 123)
Unique sites:
Na  0.000  0.000  0.229
H  0.500  0.500  0.000
Br  0.500  0.500  0.500